# 1
BeIrBr: optimized geometry, GGA-PBE.

The value obtained for the density of states at the Fermi level is 2.413 states/eV/cell. The value obtained for the formation energy without anion corrections is -0.2016 eV/atom.

```
data_BeIrBr
_chemical_formula_sum 'Be2 Ir2 Br2'
_cell_length_a 3.8474
_cell_length_b 3.8610
_cell_length_c 9.1747
_cell_angle_alpha 77.94
_cell_angle_beta 78.06
_cell_angle_gamma 89.42
_space_group_name_H-M_alt 'P 1'
_space_group_IT_number 1
loop_
_space_group_symop_operation_xyz
'x,y,z'
loop_
_atom_site_label
_atom_site_fract_x
_atom_site_fract_y
_atom_site_fract_z
Be1 0.0000 0.0000 0.0000
Be2 0.4305 0.5767 0.0000
Ir1 0.4122 0.9874 0.1550
Ir2 0.8669 0.4367 0.1551
Br1 0.0278 0.5993 0.3841
Br2 0.3223 0.8959 0.7808
```



# 2
Be4Pb: optimized geometry, GGA-PBE.

The value obtained for the density of states at the Fermi level is 7.708 states/eV/cell. For the formation energy, the calculation gives 1441 meV/atom.

```
data_Be4Pb
_chemical_formula_sum 'Be8 Pb2'
_cell_length_a 5.6064
_cell_length_b 5.6064
_cell_length_c 5.6064
_cell_angle_alpha 90.00
_cell_angle_beta 90.00
_cell_angle_gamma 90.00
_space_group_name_H-M_alt 'I m -3 m'
_space_group_IT_number 229
_space_group_name_Hall '-I 4 2 3'
loop_
_atom_site_label
_atom_site_fract_x
_atom_site_fract_y
_atom_site_fract_z
Be1 0.2500 0.2500 0.2500
Pb1 0.0000 0.0000 0.0000
```



# 3
LiNbZn: optimized geometry, GGA-PBE.

The value obtained for the density of states at the Fermi level is 2.625 states/eV/cell. For the formation energy, the calculation gives 55 meV/atom.

```
data_LiNbZn
_chemical_formula_sum 'Li2 Nb2 Zn2'
_cell_length_a 2.8272
_cell_length_b 5.1949
_cell_length_c 7.1737
_cell_angle_alpha 73.22
_cell_angle_beta 89.97
_cell_angle_gamma 74.38
_space_group_name_H-M_alt 'P 1'
_space_group_IT_number 1
loop_
_space_group_symop_operation_xyz
'x,y,z'
loop_
_atom_site_label
_atom_site_fract_x
_atom_site_fract_y
_atom_site_fract_z
Li1 0.0000 0.0000 0.0000
Li2 0.3386 0.3246 0.6934
Nb1 0.3763 0.2370 0.2804
Nb2 0.6609 0.6827 0.3478
Zn1 0.0586 0.8819 0.6306
Zn2 0.7089 0.5782 0.9479
```



# 4
PmHo2Tm: optimized geometry, GGA-PBE.

The value obtained for the density of states at the Fermi level is 5.369 states/eV/cell. For the formation energy, the calculation gives 24 meV/atom.

```
data_PmHo2Tm
_chemical_formula_sum 'Pm1 Ho2 Tm1'
_cell_length_a 3.5432
_cell_length_b 3.5432
_cell_length_c 10.0510
_cell_angle_alpha 90.00
_cell_angle_beta 90.00
_cell_angle_gamma 90.00
_space_group_name_H-M_alt 'P 4/m m m'
_space_group_IT_number 123
_space_group_name_Hall '-P 4 2'
loop_
_atom_site_label
_atom_site_fract_x
_atom_site_fract_y
_atom_site_fract_z
Pm1 0.0000 0.0000 0.0000
Ho1 0.5000 0.5000 0.2553
Tm1 0.0000 0.0000 0.5000
```